1.
Compound: BeBrN2O
Source: Alexandria via LeMat-Bulk
Functional: GGA-PBE
Structure: optimized geometry

Unit cell a=4.0457 b=4.0457 c=3.1509 alpha=90.00 beta=90.00 gamma=90.00
Last column: magnetic moment on the atom in μB.
Element x y z (fractional)
Be 0.0000 0.0000 0.0000  -0.02
O 0.0000 0.0000 0.5000  0.57
Br 0.5000 0.5000 0.5000  -0.09
N 0.0000 0.5000 0.0000  0.78
N 0.5000 0.0000 0.0000  0.78

Values from the calculation:
The magnetization is 0.5363 μB per atom. The uncorrected formation energy is 1.34 eV per atom.

2.
Compound: BePb2BrN
Source: Alexandria via LeMat-Bulk
Functional: GGA-PBE
Structure: optimized geometry

Unit cell a=5.7498 b=4.3207 c=5.7498 alpha=90.00 beta=90.00 gamma=90.00
Element x y z (fractional)
Pb 0.0000 0.0000 0.5000
Pb 0.5000 0.0000 0.0000
Be 0.0000 0.5000 0.0000
Br 0.0000 0.0000 0.0000
N 0.5000 0.5000 0.5000

Values from the calculation:
The magnetization is 0.0005 μB per atom. The uncorrected formation energy is 1.72 eV per atom.

3.
Compound: BePbBr2N
Source: Alexandria via LeMat-Bulk
Functional: GGA-PBE
Structure: optimized geometry

Unit cell a=4.5903 b=5.2526 c=4.5903 alpha=90.00 beta=90.00 gamma=90.00
Element x y z (fractional)
Pb 0.0000 0.5000 0.0000
Be 0.5000 0.5000 0.5000
Br 0.0000 0.0000 0.5000
Br 0.5000 0.0000 0.0000
N 0.0000 0.0000 0.0000

Values from the calculation:
The magnetization is 0.0000 μB per atom. The uncorrected formation energy is 1.11 eV per atom.

4.
Compound: RbBe2BrN
Source: Alexandria via LeMat-Bulk
Functional: GGA-PBE
Structure: optimized geometry

Unit cell a=3.9114 b=10.0972 c=3.9114 alpha=90.00 beta=90.00 gamma=90.00
Element x y z (fractional)
Be 0.0000 0.0000 0.5000
Be 0.5000 0.0000 0.0000
Br 0.0000 0.5000 0.0000
Rb 0.5000 0.5000 0.5000
N 0.0000 0.0000 0.0000

Values from the calculation:
The magnetization is 0.0000 μB per atom. The uncorrected formation energy is 0.25 eV per atom.